SmSn2Pd5: optimized geometry, PBE.

abc: 6.965 6.965 6.965
angles: 147.32 118.25 71.64
Positions (direct):
Sm (0.000, 0.000, 0.000)
Sn (0.260, 0.760, 0.500)
Sn (0.740, 0.240, 0.500)
Pd (0.171, 0.375, 0.796)
Pd (0.421, 0.625, 0.796)
Pd (0.500, 0.000, 0.500)
Pd (0.579, 0.375, 0.204)
Pd (0.829, 0.625, 0.204)

Results
SG: No. 71
ΔE_f (eV per formula unit): -4.67
Density of states at the Fermi level (states/eV/atom): 0.47
VASP energy (eV per atom): -5.420